! HfCoNiP, relaxed, DFT PBE; values from VASP
! Uncorrected energy: -7.6295 eV per atom
! Size of the total moment: 0.0 μB per formula unit
! Space group: P1 (1)
! D(E_F): 2.59 states/eV/f.u.
&SYSTEM
  ibrav = 0, nat = 4, ntyp = 4
/
ATOMIC_SPECIES
Hf 178.49 Hf.upf
Co 58.93 Co.upf
Ni 58.69 Ni.upf
P 30.97 P.upf
ATOMIC_POSITIONS angstrom
Hf 4.0633 4.1166 2.2827
Co 2.1976 2.4677 3.5087
Ni 2.1963 2.2705 1.1277
P 2.1996 0.3453 0.2610
CELL_PARAMETERS angstrom
3.7321 -0.0089 0.0116
0.0051 3.8573 -0.0023
1.8600 1.5910 4.0654